Density functional theory data (PBE-GGA) for crystalline Cs2HgPI6 at its relaxed geometry.

Cell lengths 8.5492, 8.5492, 11.6376 Å; angles 90.00, 90.00, 90.00 degrees
Space group I4/mmm (No. 139)
Asymmetric unit:
Cs (0.0000, 0.5000, 0.2500) x4
Hg (0.0000, 0.0000, 0.0000) x2
P (0.0000, 0.0000, 0.5000) x2
I (0.0000, 0.0000, 0.2568) x4
I (0.2331, 0.2331, 0.5000) x8

Results
The volume comes out at 42.53 Å³ per atom. For the final energy, the calculation gives -46.81 eV for the cell shown. The calculated density is 4.92 g/cm³.